No. 1
DFT (PBE) results for NbAl2RhAu after structural relaxation.

a b c (Å): 4.4774 4.4774 5.0963
angles (deg): 90.00 90.00 90.00
Fractional coordinates of all 5 atoms:
Nb1 0.0000 0.0000 0.0000
Al1 0.0000 0.5000 0.5000
Al2 0.5000 0.0000 0.5000
Rh1 0.5000 0.5000 0.5000
Au1 0.5000 0.5000 0.0000

## Properties
The density of states at the Fermi level is 6.136 states/eV per cell. For the mass density, the calculation gives 7.26 g/cm³. For the total magnetization, the calculation gives 2.2 μB per formula unit. The formation enthalpy at 0 K is 446 meV per atom.

=====

No. 2
DFT (PBE) results for CdHgH after structural relaxation.

a b c (Å): 3.0658 5.3719 8.1084
angles (deg): 71.38 80.87 89.65
Fractional coordinates of all 6 atoms:
Cd1 0.0956 0.1011 0.3018
Cd2 0.9044 0.8989 0.6982
Hg1 0.2167 0.7026 0.0946
Hg2 0.7833 0.2974 0.9054
H1 0.4943 0.5522 0.5226
H2 0.5057 0.4478 0.4774

## Properties
The density of states at the Fermi level is 1.198 states/eV per cell. For the mass density, the calculation gives 8.36 g/cm³. For the total magnetization, the calculation gives 0.0 μB per formula unit. For the final energy, the calculation gives -1.4395 eV per atom.

=====

No. 3
DFT (PBE) results for LiAcGdGa after structural relaxation.

a b c (Å): 7.6147 7.6147 7.6147
angles (deg): 90.00 90.00 90.00
Fractional coordinates of all 16 atoms:
Li1 0.0000 0.0000 0.0000
Li2 0.0000 0.5000 0.5000
Li3 0.5000 0.0000 0.5000
Li4 0.5000 0.5000 0.0000
Ac1 0.2500 0.2500 0.7500
Ac2 0.2500 0.7500 0.2500
Ac3 0.7500 0.2500 0.2500
Ac4 0.7500 0.7500 0.7500
Gd1 0.2500 0.2500 0.2500
Gd2 0.2500 0.7500 0.7500
Gd3 0.7500 0.2500 0.7500
Gd4 0.7500 0.7500 0.2500
Ga1 0.0000 0.0000 0.5000
Ga2 0.0000 0.5000 0.0000
Ga3 0.5000 0.0000 0.0000
Ga4 0.5000 0.5000 0.5000

## Properties
The density of states at the Fermi level is 16.811 states/eV per cell. For the mass density, the calculation gives 6.93 g/cm³. For the total magnetization, the calculation gives 7.6 μB per formula unit. The formation enthalpy at 0 K is -237 meV per atom.

=====

No. 4
DFT (PBE) results for Pa3Te2Rh after structural relaxation.

a b c (Å): 7.2541 7.2541 7.5671
angles (deg): 99.30 99.30 119.88
Fractional coordinates of all 12 atoms:
Pa1 0.0644 0.4271 0.7784
Pa2 0.2091 0.2091 0.2114
Pa3 0.4271 0.0644 0.7784
Pa4 0.5729 0.9356 0.2216
Pa5 0.7909 0.7909 0.7886
Pa6 0.9356 0.5729 0.2216
Te1 0.0000 0.0000 0.5000
Te2 0.3474 0.6526 0.5000
Te3 0.5000 0.5000 0.0000
Te4 0.6526 0.3474 0.5000
Rh1 0.1678 0.8322 0.0000
Rh2 0.8322 0.1678 0.0000

## Properties
The density of states at the Fermi level is 27.216 states/eV per cell. For the mass density, the calculation gives 10.68 g/cm³. The value obtained for the uncorrected formation energy is -0.6329 eV per atom. For the total magnetization, the calculation gives 0.1 μB per formula unit.

=====

No. 5
DFT (PBE) results for HfTaMn after structural relaxation.

a b c (Å): 5.1946 5.5319 7.1345
angles (deg): 90.00 90.00 90.00
Fractional coordinates of all 12 atoms:
Hf1 0.0000 0.2500 0.1164
Hf2 0.0000 0.7500 0.8836
Hf3 0.5000 0.2500 0.3836
Hf4 0.5000 0.7500 0.6164
Ta1 0.0000 0.0000 0.5000
Ta2 0.0000 0.5000 0.5000
Ta3 0.5000 0.0000 0.0000
Ta4 0.5000 0.5000 0.0000
Mn1 0.2500 0.2500 0.7500
Mn2 0.2500 0.7500 0.2500
Mn3 0.7500 0.2500 0.7500
Mn4 0.7500 0.7500 0.2500

## Properties
The density of states at the Fermi level is 9.714 states/eV per cell. For the mass density, the calculation gives 13.42 g/cm³. For the total magnetization, the calculation gives 0.0 μB per formula unit. The formation enthalpy at 0 K is -157 meV per atom.

=====

No. 6
DFT (PBE) results for Ba2Sr3Au3 after structural relaxation.

a b c (Å): 6.4609 7.8111 15.5214
angles (deg): 87.92 89.99 65.63
Fractional coordinates of all 16 atoms:
Ba1 0.0000 0.0000 0.0000
Ba2 0.0137 0.9698 0.3599
Ba3 0.3930 0.2147 0.8020
Ba4 0.7071 0.5837 0.5074
Sr1 0.0905 0.8174 0.6757
Sr2 0.2921 0.4166 0.0473
Sr3 0.2994 0.3992 0.3130
Sr4 0.4211 0.1548 0.5411
Sr5 0.6157 0.7678 0.1781
Sr6 0.6809 0.6383 0.8737
Au1 0.1334 0.7322 0.1794
Au2 0.1791 0.6422 0.8689
Au3 0.2044 0.5889 0.4968
Au4 0.5025 0.9950 0.9941
Au5 0.5174 0.9625 0.3626
Au6 0.5793 0.8399 0.6849

## Properties
The density of states at the Fermi level is 9.298 states/eV per cell. For the mass density, the calculation gives 5.26 g/cm³. For the total magnetization, the calculation gives 0.0 μB per formula unit. The formation enthalpy at 0 K is -538 meV per atom.

=====

No. 7
DFT (PBE) results for TiSbO2 after structural relaxation.

a b c (Å): 3.1296 3.1296 21.2211
angles (deg): 90.00 90.00 120.00
Fractional coordinates of all 12 atoms:
Ti1 0.0000 0.0000 0.0000
Ti2 0.3333 0.6667 0.6667
Ti3 0.6667 0.3333 0.3333
Sb1 0.0000 0.0000 0.5000
Sb2 0.3333 0.6667 0.1667
Sb3 0.6667 0.3333 0.8333
O1 0.0000 0.0000 0.0876
O2 0.0000 0.0000 0.9124
O3 0.3333 0.6667 0.5791
O4 0.3333 0.6667 0.7543
O5 0.6667 0.3333 0.2457
O6 0.6667 0.3333 0.4209

## Properties
The density of states at the Fermi level is 7.116 states/eV per cell. For the mass density, the calculation gives 5.58 g/cm³. The value obtained for the uncorrected formation energy is -0.9801 eV per atom. For the total magnetization, the calculation gives 0.0 μB per formula unit.

=====

No. 8
DFT (PBE) results for Cd2H2Pd3 after structural relaxation.

a b c (Å): 5.5607 4.8933 7.8614
angles (deg): 90.00 118.35 90.00
Fractional coordinates of all 14 atoms:
Cd1 0.1969 0.0584 0.3960
Cd2 0.1969 0.4416 0.8960
Cd3 0.8031 0.5584 0.1040
Cd4 0.8031 0.9416 0.6040
H1 0.3363 0.6534 0.6173
H2 0.3363 0.8466 0.1173
H3 0.6637 0.1534 0.8827
H4 0.6637 0.3466 0.3827
Pd1 0.0000 0.0000 0.0000
Pd2 0.0000 0.5000 0.5000
Pd3 0.3837 0.5828 0.2958
Pd4 0.3837 0.9172 0.7958
Pd5 0.6163 0.0828 0.2042
Pd6 0.6163 0.4172 0.7042

## Properties
The density of states at the Fermi level is 2.976 states/eV per cell. For the mass density, the calculation gives 9.63 g/cm³. For the total magnetization, the calculation gives 0.0 μB per formula unit. For the final energy, the calculation gives -3.6775 eV per atom.

=====

Q: Among the records above, which one has the lowest mass density?
A: Ba2Sr3Au3

=====

Q: Which formula does entry 3 have?
A: LiAcGdGa

=====

Q: Among the records above, which one has the lowest mass density?
A: Ba2Sr3Au3